The following is a DFT calculation (PBE) of a relaxed LiMg2Pb crystal.

Lattice parameters (Å, degrees): 5.464 5.464 5.464 131.04 131.07 71.73
Element x y z (fractional)
Mg 0.000 0.000 0.000
Mg 0.500 0.500 0.000
Pb 0.750 0.250 0.500
Li 0.250 0.750 0.500

total magnetization: 0.000 μB/f.u.
DFT formation energy: -0.531 eV/f.u.



The following is a DFT calculation (PBE) of a relaxed TbErZr2 crystal.

Lattice parameters (Å, degrees): 3.927 3.927 6.858 90.00 90.00 90.00
Element x y z (fractional)
Zr 0.000 0.000 0.229
Er 0.500 0.500 0.000
Tb 0.500 0.500 0.500
Zr 0.000 0.000 0.771

total magnetization: 0.000 μB/f.u.
distance to the lowest polymorph of the same formula: 138.7 meV/atom
DFT formation energy: 0.869 eV/f.u.